Er4Cd3Os | Alexandria | GGA-PBE | optimized geometry; symmetry = No. 123; calculated formation energy = -0.326 eV per atom; energy = -34.8 eV per cell
1.0
3.454 0.000 0.000
0.000 3.454 0.000
0.000 0.000 16.081
Os Cd Er
1 3 4
Cartesian
1.727 1.727 0.000
1.727 1.727 8.041
1.727 1.727 3.852
1.727 1.727 12.230
0.000 0.000 14.461
0.000 0.000 1.621
0.000 0.000 10.169
0.000 0.000 5.913


Er8CdOs2 | Alexandria | GGA-PBE | optimized geometry; symmetry = No. 12; calculated formation energy = -0.202 eV per atom; energy = -62.1 eV per cell
1.0
5.461 -0.048 -0.073
-0.969 7.728 -0.054
-0.969 -3.026 7.111
Cd Os Er
1 2 8
Cartesian
2.730 -0.024 -0.036
-0.969 0.364 4.853
-0.969 4.338 2.205
3.457 2.292 6.561
1.761 -0.388 5.301
0.437 2.886 4.332
0.065 2.362 0.424
3.086 1.767 2.652
1.761 5.041 1.684
0.065 -0.519 2.343
3.457 5.172 4.642


Er4CdOs | Alexandria | GGA-PBE | optimized geometry; energy relative to the lowest polymorph listed for this composition = 0 meV per atom; symmetry = No. 216; calculated formation energy = -0.295 eV per atom; energy = -128.7 eV per cell
1.0
-4.668 7.696 3.213
-7.687 -1.058 5.580
0.453 2.346 9.254
Os Er Cd
4 16 4
Cartesian
-7.470 4.448 6.923
-5.201 2.078 9.599
-7.269 5.486 11.022
-3.864 5.955 8.551
-6.604 6.595 8.523
-8.265 8.850 14.846
-9.898 5.814 8.882
-8.438 7.957 11.324
-6.488 5.921 13.623
-5.160 6.466 5.443
-7.021 1.072 6.901
-4.803 3.625 7.283
-9.415 5.518 15.747
-4.628 4.530 10.854
-9.587 4.625 12.224
-7.769 3.217 9.436
-11.364 7.555 13.448
-2.004 3.169 9.166
-4.881 7.912 11.146
-6.741 2.517 12.604
-1.871 2.278 6.040
-2.017 1.522 3.058
-3.521 4.002 4.093
-4.493 1.181 4.856


Er5CdOs | Alexandria | GGA-PBE | optimized geometry; symmetry = No. 15; calculated formation energy = -0.089 eV per atom; energy = -71.2 eV per cell
1.0
5.867 -0.334 -0.047
1.544 5.670 -0.047
2.654 1.911 11.218
Er Cd Os
10 2 2
Cartesian
6.507 3.149 4.831
6.489 6.199 6.948
6.611 3.231 1.339
3.455 4.015 9.786
3.688 1.120 0.684
3.559 4.097 6.293
3.577 1.047 4.177
6.509 0.174 2.758
6.378 6.127 10.440
3.557 7.073 8.367
6.112 3.524 8.367
3.954 3.723 2.758
0.000 0.000 0.000
1.327 0.955 5.609


Er3Cd2Os | Alexandria | GGA-PBE | optimized geometry; symmetry = No. 65; calculated formation energy = -0.336 eV per atom; energy = -57.5 eV per cell
1.0
-2.348 1.569 4.093
-5.987 -4.831 1.438
4.530 -4.345 4.263
Er Cd Os
6 4 2
Cartesian
-0.765 -6.270 4.985
-0.142 -0.206 3.019
-3.040 -1.337 4.810
-3.320 -3.818 2.579
2.324 -2.570 5.338
-0.485 -3.789 7.215
-0.508 -3.254 3.976
0.000 0.000 0.000
2.265 -2.173 2.132
-3.296 -4.353 5.819
-2.735 -1.037 1.849
-5.600 -2.225 3.682


Er6CdOs2 | Alexandria | GGA-PBE | optimized geometry; symmetry = No. 71; calculated formation energy = -0.282 eV per atom; energy = -106.6 eV per cell
1.0
-5.021 2.746 6.196
2.488 -7.980 1.128
7.268 4.259 -0.413
Er Cd Os
12 2 4
Cartesian
-3.102 0.401 5.184
-1.404 -2.465 6.321
2.841 0.530 1.361
1.894 -1.504 5.550
-0.301 -0.188 3.134
-0.987 3.163 4.122
5.037 -0.787 3.777
2.436 -2.885 2.548
2.300 1.910 4.363
5.723 -4.138 2.789
6.139 1.491 0.590
7.837 -1.375 1.727
0.000 0.000 0.000
4.878 -1.860 0.358
0.726 2.262 1.868
4.805 2.099 3.161
1.521 4.742 3.915
-0.069 -3.073 3.750


Er6CdOs | Alexandria | GGA-PBE | optimized geometry; energy relative to the lowest polymorph listed for this composition = 0 meV per atom; symmetry = No. 139; calculated formation energy = -0.088 eV per atom; energy = -40.2 eV per cell
1.0
-3.917 -2.603 -1.670
2.685 -4.200 0.250
-3.248 -4.606 7.326
Er Os Cd
6 1 1
Cartesian
0.197 -5.743 1.027
-4.678 -5.665 4.879
-1.379 -6.464 5.838
-1.929 -4.002 3.300
-3.102 -4.944 0.068
-2.552 -7.407 2.606
0.000 0.000 0.000
-0.616 -3.401 -0.710


Er2Cd2Os | Alexandria | GGA-PBE | optimized geometry; symmetry = No. 139; calculated formation energy = -0.313 eV per atom; energy = -23.8 eV per cell
1.0
3.353 0.000 -0.538
-0.086 3.351 -0.538
-0.104 -0.107 10.067
Os Cd Er
1 2 2
Cartesian
0.000 0.000 0.000
0.619 0.635 3.860
2.543 2.609 5.132
1.890 1.939 1.062
1.272 1.305 7.930


Er6CdOs | Alexandria | GGA-PBE | optimized geometry; energy relative to the lowest polymorph listed for this composition = 134 meV per atom; symmetry = No. 2; calculated formation energy = 0.046 eV per atom; energy = -39.2 eV per cell
1.0
6.802 0.009 0.003
3.394 5.904 0.009
3.386 1.962 6.318
Er Os Cd
6 1 1
Cartesian
5.513 1.766 1.544
9.316 3.914 1.547
5.561 6.141 1.550
8.022 1.733 4.781
4.267 3.960 4.783
8.071 6.109 4.786
0.000 0.000 0.000
6.792 3.937 3.165


Er4CdOs | Alexandria | GGA-PBE | optimized geometry; energy relative to the lowest polymorph listed for this composition = 188 meV per atom; symmetry = No. 12; calculated formation energy = -0.108 eV per atom; energy = -31.0 eV per cell
1.0
4.968 0.000 0.000
2.484 4.310 0.259
2.484 0.969 8.044
Er Cd Os
4 1 1
Cartesian
7.452 4.154 2.988
4.968 2.449 7.383
4.968 2.830 0.920
2.484 1.125 5.315
4.968 2.640 4.151
0.000 0.000 0.000


Er8CdOs2 | Alexandria | GGA-PBE | optimized geometry; symmetry = No. 8; calculated formation energy = -0.202 eV per atom; energy = -62.1 eV per cell
1.0
4.964 0.053 -1.481
-0.884 6.277 -2.716
-0.029 0.089 8.955
Cd Er Os
1 8 2
Cartesian
-0.211 6.214 5.288
0.953 5.409 0.112
2.895 1.822 6.457
1.964 4.551 3.450
4.781 0.212 3.669
2.882 5.905 -2.470
0.172 3.541 6.445
1.188 2.241 0.771
4.201 2.822 1.831
3.442 3.959 -0.655
2.048 1.839 3.647


Er5Cd2Os2 | Alexandria | GGA-PBE | optimized geometry; symmetry = No. 64; calculated formation energy = -0.288 eV per atom; energy = -99.4 eV per cell
1.0
6.940 0.000 2.519
0.000 7.505 0.000
0.684 0.000 8.936
Er Os Cd
10 4 4
Cartesian
2.603 5.114 7.562
3.563 1.362 7.910
0.000 0.000 0.000
3.470 3.752 1.260
7.033 2.390 9.170
5.021 2.390 3.894
6.073 6.143 8.821
4.061 6.143 3.545
1.551 1.362 2.634
0.591 5.114 2.286
2.660 6.601 0.965
6.130 4.656 2.225
0.810 2.849 0.294
4.280 0.904 1.554
1.927 0.000 5.510
5.696 0.000 5.945
2.226 3.752 4.686
5.397 3.752 6.770